Record 1
## ZrFeN3 (GGA-PBE)

Data for a geometry-optimized ZrFeN3 structure.

It has space group Pm-3m (No. 221), with a = 3.669 Å, b = 3.669 Å, c = 3.669 Å, α = 90.00°, β = 90.00° and γ = 90.00°. The asymmetric unit holds Zr at (0.000, 0.000, 0.000), Fe at (0.500, 0.500, 0.500) and N at (0.000, 0.500, 0.500).

Its total energy is -41.6 eV per formula unit. The formation energy from raw total energies is 78 meV/atom.

=====

Record 2
## TlTe2AuI (GGA-PBE)

Data for a geometry-optimized TlTe2AuI structure.

It has space group P4/mmm (No. 123), with a = 5.518 Å, b = 5.518 Å, c = 5.814 Å, α = 90.00°, β = 90.00° and γ = 90.00°. The asymmetric unit holds Tl at (0.000, 0.000, 0.000), Te at (0.000, 0.500, 0.500), Au at (0.500, 0.500, 0.500) and I at (0.500, 0.500, 0.000).

Its total energy is -13.0 eV per formula unit. The formation energy from raw total energies is 98 meV/atom. The value obtained for the energy above the most stable polymorph in this dataset is 0.000 eV/atom.

=====

Record 3
## MgGeAsH2 (GGA-PBE)

Data for a geometry-optimized MgGeAsH2 structure.

It has space group P4/mmm (No. 123), with a = 3.698 Å, b = 3.698 Å, c = 6.034 Å, α = 90.00°, β = 90.00° and γ = 90.00°. The asymmetric unit holds Mg at (0.000, 0.000, 0.000), Ge at (0.500, 0.500, 0.500), As at (0.000, 0.000, 0.500) and H at (0.000, 0.500, 0.000).

Its total energy is -16.5 eV per formula unit.

=====

Record 4
## SmScTc4 (GGA-PBE)

Data for a geometry-optimized SmScTc4 structure.

It has space group F-43m (No. 216), with a = 7.586 Å, b = 7.586 Å, c = 7.586 Å, α = 90.00°, β = 90.00° and γ = 90.00°. The asymmetric unit holds Sm at (0.000, 0.000, 0.000), Sc at (0.250, 0.250, 0.750) and Tc at (0.125, 0.125, 0.375).

Its total energy is -53.2 eV per formula unit. The energy of formation from the pure elements is -0.667 eV per formula unit.

=====

Record 5
## ZnGa2Rh (GGA-PBE)

Data for a geometry-optimized ZnGa2Rh structure.

It has space group P4/mmm (No. 123), with a = 3.341 Å, b = 3.341 Å, c = 5.366 Å, α = 90.00°, β = 90.00° and γ = 90.00°. The asymmetric unit holds Zn at (0.000, 0.000, 0.000), Ga at (0.500, 0.500, 0.257) and Rh at (0.000, 0.000, 0.500).

Its total energy is -16.0 eV per formula unit. The energy of formation from the pure elements is -1.308 eV per formula unit.

=====

Record 6
## RhWAu2 (GGA-PBE)

Data for a geometry-optimized RhWAu2 structure.

It has space group Cm (No. 8), with a = 9.301 Å, b = 2.861 Å, c = 4.991 Å, α = 90.00°, β = 100.12° and γ = 90.00°. The asymmetric unit holds Rh at (0.000, 0.000, 0.000), W at (0.262, 0.000, 0.796), Au at (0.010, 0.500, 0.527) and Au at (0.254, 0.500, 0.279).

Its total energy is -26.1 eV per formula unit. The value obtained for the energy above the most stable polymorph in this dataset is 0.139 eV/atom. The energy of formation from the pure elements is 0.746 eV per formula unit.

=====

Record 7
## LaPrNd2Y2 (GGA-PBE)

Data for a geometry-optimized LaPrNd2Y2 structure.

It has space group Pnnm (No. 58), with a = 6.702 Å, b = 18.427 Å, c = 3.446 Å, α = 90.00°, β = 90.00° and γ = 90.00°. The asymmetric unit holds La at (0.000, 0.000, 0.000), Pr at (0.000, 0.500, 0.000), Nd at (0.221, 0.186, 0.000) and Y at (0.218, 0.351, 0.500).

Its total energy is -30.6 eV per formula unit. The energy of formation from the pure elements is 1.567 eV per formula unit.

=====

Record 8
## Be2NbCu (GGA-PBE)

Data for a geometry-optimized Be2NbCu structure.

It has space group P4/mmm (No. 123), with a = 2.775 Å, b = 2.775 Å, c = 6.051 Å, α = 90.00°, β = 90.00° and γ = 90.00°. The asymmetric unit holds Be at (0.000, 0.000, 0.203), Nb at (0.500, 0.500, 0.500) and Cu at (0.500, 0.500, 0.000).

Its total energy is -22.0 eV per formula unit. The value obtained for the energy above the most stable polymorph in this dataset is 0.000 eV/atom. The energy of formation from the pure elements is -0.366 eV per formula unit.

=====

Record 9
## BAuIN2 (GGA-PBE)

Data for a geometry-optimized BAuIN2 structure.

It has space group P4/mmm (No. 123), with a = 3.947 Å, b = 3.947 Å, c = 8.536 Å, α = 90.00°, β = 90.00° and γ = 90.00°. The asymmetric unit holds B at (0.000, 0.000, 0.000), Au at (0.500, 0.500, 0.500), I at (0.500, 0.500, 0.000) and N at (0.000, 0.500, 0.500).

Its total energy is -17.0 eV per formula unit. The formation energy from raw total energies is 2234 meV/atom. The value obtained for the energy above the most stable polymorph in this dataset is 0.500 eV/atom.

=====

Record 10
## CdHg (GGA-PBE)

Data for a geometry-optimized CdHg structure.

It has space group P2_12_12_1 (No. 19), with a = 6.637 Å, b = 6.671 Å, c = 9.167 Å, α = 90.00°, β = 90.00° and γ = 90.00°. The asymmetric unit holds Cd at (0.122, 0.048, 0.291), Cd at (0.123, 0.544, 0.792), Hg at (0.007, 0.707, 0.500) and Hg at (0.249, 0.249, 0.566).

Its total energy is -1.2 eV per formula unit. The energy of formation from the pure elements is 0.056 eV per formula unit.

=====

Record 11
## Y2TaAl (GGA-PBE)

Data for a geometry-optimized Y2TaAl structure.

It has space group I-4m2 (No. 119), with a = 4.480 Å, b = 4.480 Å, c = 9.158 Å, α = 90.00°, β = 90.00° and γ = 90.00°. The asymmetric unit holds Y at (0.000, 0.000, 0.000), Y at (0.000, 0.500, 0.250), Ta at (0.000, 0.000, 0.500) and Al at (0.000, 0.500, 0.750).

Its total energy is -28.1 eV per formula unit. The energy of formation from the pure elements is 0.400 eV per formula unit.

=====

Record 12
## LiYHf (GGA-PBE)

Data for a geometry-optimized LiYHf structure.

It has space group I4mm (No. 107), with a = 3.335 Å, b = 3.335 Å, c = 13.017 Å, α = 90.00°, β = 90.00° and γ = 90.00°. The asymmetric unit holds Li at (0.000, 0.000, 0.000), Y at (0.000, 0.000, 0.680) and Hf at (0.000, 0.000, 0.347).

Its total energy is -17.7 eV per formula unit. The value obtained for the energy above the most stable polymorph in this dataset is 0.105 eV/atom. The energy of formation from the pure elements is 0.610 eV per formula unit.

=====

Record 13
## Rb12In3Br5 (GGA-PBE)

Data for a geometry-optimized Rb12In3Br5 structure.

It has space group Ia-3d (No. 230), with a = 21.275 Å, b = 21.275 Å, c = 21.275 Å, α = 90.00°, β = 90.00° and γ = 90.00°. The asymmetric unit holds Rb at (0.022, 0.063, 0.652), In at (0.000, 0.250, 0.125), Br at (0.000, 0.000, 0.000) and Br at (0.000, 0.250, 0.375).

Its total energy is -42.9 eV per formula unit. The formation energy from raw total energies is -737 meV/atom.

=====

Record 14
## Ca2CrCo (GGA-PBE)

Data for a geometry-optimized Ca2CrCo structure.

It has space group P4mm (No. 99), with a = 3.286 Å, b = 3.286 Å, c = 8.436 Å, α = 90.00°, β = 90.00° and γ = 90.00°. The asymmetric unit holds Ca at (0.000, 0.000, 0.000), Ca at (0.500, 0.500, 0.396), Cr at (0.500, 0.500, 0.740) and Co at (0.000, 0.000, 0.640).

Its total energy is -19.1 eV per formula unit. The value obtained for the energy above the most stable polymorph in this dataset is 0.018 eV/atom. The energy of formation from the pure elements is 1.612 eV per formula unit.

=====

Record 15
## CsNa2SnGe (GGA-PBE)

Data for a geometry-optimized CsNa2SnGe structure.

It has space group P4/mmm (No. 123), with a = 5.880 Å, b = 5.880 Å, c = 5.414 Å, α = 90.00°, β = 90.00° and γ = 90.00°. The asymmetric unit holds Cs at (0.000, 0.000, 0.000), Na at (0.000, 0.500, 0.500), Sn at (0.500, 0.500, 0.000) and Ge at (0.500, 0.500, 0.500).

Its total energy is -12.1 eV per formula unit. The energy of formation from the pure elements is 0.025 eV per formula unit.

=====

Record 16
## InTc2Te2 (GGA-PBE)

Data for a geometry-optimized InTc2Te2 structure.

It has space group P4/mbm (No. 127), with a = 7.896 Å, b = 7.896 Å, c = 3.229 Å, α = 90.00°, β = 90.00° and γ = 90.00°. The asymmetric unit holds In at (0.000, 0.000, 0.000), Tc at (0.140, 0.360, 0.000) and Te at (0.147, 0.647, 0.500).

Its total energy is -27.9 eV per formula unit. The formation energy from raw total energies is 370 meV/atom. The value obtained for the energy above the most stable polymorph in this dataset is 0.040 eV/atom.

=====

Record 17
## CuSiAg2 (GGA-PBE)

Data for a geometry-optimized CuSiAg2 structure.

It has space group I4/mmm (No. 139), with a = 3.977 Å, b = 3.977 Å, c = 7.897 Å, α = 90.00°, β = 90.00° and γ = 90.00°. The asymmetric unit holds Cu at (0.000, 0.000, 0.000), Si at (0.000, 0.000, 0.500) and Ag at (0.000, 0.500, 0.250).

Its total energy is -14.4 eV per formula unit. The formation energy from raw total energies is 208 meV/atom.

=====

Record 18
## Ac6As3P2H (GGA-PBE)

Data for a geometry-optimized Ac6As3P2H structure.

It has space group C2/m (No. 12), with a = 19.344 Å, b = 4.458 Å, c = 8.917 Å, α = 90.00°, β = 103.10° and γ = 90.00°. The asymmetric unit holds Ac at (0.001, 0.000, 0.257), Ac at (0.168, 0.500, 0.089), Ac at (0.169, 0.500, 0.579), As at (0.000, 0.500, 0.500), As at (0.165, 0.000, 0.835), P at (0.164, 0.000, 0.329) and H at (0.000, 0.500, 0.000).

Its total energy is -67.9 eV per formula unit.

=====

Record 19
## Ni6Rh (GGA-PBE)

Data for a geometry-optimized Ni6Rh structure.

It has space group Pnma (No. 62), with a = 4.891 Å, b = 11.270 Å, c = 6.679 Å, α = 90.00°, β = 90.00° and γ = 90.00°. The asymmetric unit holds Ni at (0.025, 0.250, 0.243), Ni at (0.046, 0.079, 0.784), Ni at (0.166, 0.065, 0.424), Ni at (0.208, 0.750, 0.451) and Rh at (0.215, 0.750, 0.085).

Its total energy is -39.2 eV per formula unit. The value obtained for the energy above the most stable polymorph in this dataset is 0.000 eV/atom. The energy of formation from the pure elements is 2.866 eV per formula unit.

=====

Record 20
## Tb3NbSe6 (GGA-PBE)

Data for a geometry-optimized Tb3NbSe6 structure.

It has space group Cmc2_1 (No. 36), with a = 11.236 Å, b = 13.626 Å, c = 6.852 Å, α = 90.00°, β = 90.00° and γ = 90.00°. The asymmetric unit holds Tb at (0.000, 0.101, 0.000), Tb at (0.184, 0.396, 0.889), Nb at (0.000, 0.341, 0.371), Se at (0.000, 0.266, 0.720), Se at (0.000, 0.498, 0.121), Se at (0.163, 0.031, 0.695) and Se at (0.163, 0.246, 0.198).

Its total energy is -59.2 eV per formula unit. The formation energy from raw total energies is -1431 meV/atom.